a:
## MgBe2Co2 (PBE)

Data for MgBe2Co2 after structural relaxation.

As for the space group: P4/mbm (127).

a b c (Å): 6.4969 6.4969 2.5561
angles (deg): 90.00 90.00 90.00
Last column: nearest neighbours and their distance in Å.
Sites, in units of the cell vectors:
Be (0.6616, 0.8384, 0.5000)  6 Co 2.30, 2 Be 2.56
Be (0.3384, 0.1616, 0.5000)  6 Co 2.30, 2 Be 2.56
Be (0.1616, 0.6616, 0.5000)  6 Co 2.30, 2 Be 2.56
Be (0.8384, 0.3384, 0.5000)  6 Co 2.30, 2 Be 2.56
Co (0.8695, 0.6305, 0.0000)  6 Be 2.30, 3 Co 2.40-2.56, 2 Mg 2.55
Co (0.6305, 0.1305, 0.0000)  6 Be 2.30, 3 Co 2.40-2.56, 2 Mg 2.55
Co (0.1305, 0.3695, 0.0000)  6 Be 2.30, 3 Co 2.40-2.56, 2 Mg 2.55
Co (0.3695, 0.8695, 0.0000)  6 Be 2.30, 3 Co 2.40-2.56, 2 Mg 2.55
Mg (0.0000, 0.0000, 0.0000)  4 Co 2.55, 2 Mg 2.56, 8 Be 2.75
Mg (0.5000, 0.5000, 0.0000)  4 Co 2.55, 2 Mg 2.56, 8 Be 2.75

***

b:
## MgBe2Co2 (PBE)

Data for MgBe2Co2 after structural relaxation.

As for the space group: P4/mbm (127).

a b c (Å): 6.1619 6.1619 2.7305
angles (deg): 90.00 90.00 90.00
Last column: nearest neighbours and their distance in Å.
Sites, in units of the cell vectors:
Co (0.8370, 0.3370, 0.5000)  6 Be 2.24-2.31
Co (0.1630, 0.6630, 0.5000)  6 Be 2.24-2.31
Co (0.3370, 0.1630, 0.5000)  6 Be 2.24-2.31
Co (0.6630, 0.8370, 0.5000)  6 Be 2.24-2.31
Be (0.1228, 0.3772, 0.0000)  1 Be 2.14, 6 Co 2.24-2.31
Be (0.3772, 0.8772, 0.0000)  1 Be 2.14, 6 Co 2.24-2.31
Be (0.6228, 0.1228, 0.0000)  1 Be 2.14, 6 Co 2.24-2.31
Be (0.8772, 0.6228, 0.0000)  1 Be 2.14, 6 Co 2.24-2.31
Mg (0.0000, 0.0000, 0.0000)  4 Be 2.44, 8 Co 2.68, 2 Mg 2.73
Mg (0.5000, 0.5000, 0.0000)  4 Be 2.44, 8 Co 2.68, 2 Mg 2.73

***

Last place for stability: a

***

a:
## MgBeCo3 (PBE)

Data for MgBeCo3 after structural relaxation.

As for the space group: Pm-3m (221).

a b c (Å): 3.9408 3.9408 3.9408
angles (deg): 90.00 90.00 90.00
Last column: nearest neighbours and their distance in Å.
Sites, in units of the cell vectors:
Co (0.0000, 0.0000, 0.5000)  2 Be 1.97
Co (0.0000, 0.5000, 0.0000)  2 Be 1.97
Co (0.5000, 0.0000, 0.0000)  2 Be 1.97
Be (0.0000, 0.0000, 0.0000)  6 Co 1.97
Mg (0.5000, 0.5000, 0.5000)  12 Co 2.79

***

b:
## MgBeCo3 (PBE)

Data for MgBeCo3 after structural relaxation.

As for the space group: Pm-3m (221).

a b c (Å): 4.2715 4.2715 4.2715
angles (deg): 90.00 90.00 90.00
Last column: nearest neighbours and their distance in Å.
Sites, in units of the cell vectors:
Co (0.0000, 0.0000, 0.5000)  2 Mg 2.14
Co (0.0000, 0.5000, 0.0000)  2 Mg 2.14
Co (0.5000, 0.0000, 0.0000)  2 Mg 2.14
Be (0.5000, 0.5000, 0.5000)  12 Co 3.02
Mg (0.0000, 0.0000, 0.0000)  6 Co 2.14

***

Last place for stability: b